A geometry-optimized PmHfMnO6 structure. Source: Alexandria via LeMat-Bulk, functional PBE+U.

The structure in CIF format:
```
data_PmHfMnO6
_symmetry_space_group_name_H-M 'P 42 n m'
_symmetry_Int_Tables_number 102
_cell_length_a 4.915
_cell_length_b 4.915
_cell_length_c 9.737
_cell_angle_alpha 90.00
_cell_angle_beta 90.00
_cell_angle_gamma 90.00
loop_
_symmetry_equiv_pos_as_xyz
'x,y,z'
'-y+1/2,x+1/2,z+1/2'
'-x,-y,z'
'y+1/2,-x+1/2,z+1/2'
'-x+1/2,y+1/2,z+1/2'
'y,x,z'
'x+1/2,-y+1/2,z+1/2'
'-y,-x,z'
loop_
_atom_site_label
_atom_site_fract_x
_atom_site_fract_y
_atom_site_fract_z
Pm1 0.000 0.000 0.000
Hf1 0.000 0.000 0.660
Mn1 0.000 0.000 0.331
O1 0.173 0.173 0.484
O2 0.203 0.203 0.191
O3 0.221 0.221 0.807
```

Calculated values
The calculated total energy is -73.52 eV per formula unit. The value obtained for the density of states at the Fermi level is 4.3 states/eV/f.u.